Computed, not measured: crystalline PmPrErHg at its relaxed geometry at the PBE level of DFT.

Cell and atoms, written as POSCAR:
```
PmPrErHg
1.0
-2.177 -4.667 1.990
2.748 -4.762 -0.504
2.210 -2.397 4.455
Pr Pm Hg Er
1 1 1 1
Direct
0.000 0.000 0.000 Pr
0.500 0.500 0.500 Pm
0.250 0.250 0.250 Hg
0.750 0.750 0.750 Er
```

Space-group type   F-43m
M_tot   0.0 μB per cell
Energy of formation   -0.316 eV per formula unit
Density of states at the Fermi level   1.4523 states/eV/atom
Distance to the lowest polymorph of the same formula   0.154 eV per atom

---

Computed, not measured: crystalline PmPrErHg at its relaxed geometry at the PBE level of DFT.

Cell and atoms, written as POSCAR:
```
PmPrErHg
1.0
3.677 0.000 0.000
0.000 3.677 0.000
0.000 0.000 9.000
Pm Pr Er Hg
1 1 1 1
Direct
0.500 0.500 0.790 Pm
0.000 0.000 0.079 Pr
0.500 0.500 0.358 Er
0.000 0.000 0.558 Hg
```

Space-group type   P4mm
M_tot   0.0 μB per cell
Energy of formation   -0.931 eV per formula unit
Density of states at the Fermi level   1.1767 states/eV/atom
Distance to the lowest polymorph of the same formula   0.000 eV per atom

---

Computed, not measured: crystalline PmPrEr2Hg4 at its relaxed geometry at the PBE level of DFT.

Cell and atoms, written as POSCAR:
```
PmPrEr2Hg4
1.0
5.333 0.000 0.000
2.666 4.618 0.000
2.666 1.539 8.711
Pm Pr Er Hg
1 1 2 4
Direct
0.500 0.500 0.500 Pm
0.000 0.000 0.000 Pr
0.750 0.750 0.749 Er
0.250 0.250 0.251 Er
0.376 0.376 0.872 Hg
0.874 0.874 0.378 Hg
0.126 0.126 0.622 Hg
0.624 0.624 0.128 Hg
```

Space-group type   R-3m
M_tot   1.0 μB per cell
Energy of formation   -3.706 eV per formula unit
Density of states at the Fermi level   1.0911 states/eV/atom

---

Computed, not measured: crystalline PmErHgPt at its relaxed geometry at the PBE level of DFT.

Cell and atoms, written as POSCAR:
```
PmErHgPt
1.0
5.138 0.000 0.000
2.569 4.450 0.000
2.569 1.483 4.195
Pm Hg Pt Er
1 1 1 1
Direct
0.000 0.000 0.000 Pm
0.250 0.250 0.250 Hg
0.750 0.750 0.750 Pt
0.500 0.500 0.500 Er
```

Space-group type   F-43m
M_tot   0.0 μB per cell
Energy of formation   -3.112 eV per formula unit
Density of states at the Fermi level   0.6847 states/eV/atom

---

Computed, not measured: crystalline PmErHgRh at its relaxed geometry at the PBE level of DFT.

Cell and atoms, written as POSCAR:
```
PmErHgRh
1.0
-2.166 -1.053 -4.493
0.651 -4.584 -2.131
-3.899 -3.273 -0.245
Pm Rh Hg Er
1 1 1 1
Direct
0.500 0.500 0.500 Pm
0.750 0.750 0.750 Rh
0.250 0.250 0.250 Hg
0.000 0.000 0.000 Er
```

Space-group type   F-43m
M_tot   0.0 μB per cell
Energy of formation   -2.314 eV per formula unit
Density of states at the Fermi level   0.6199 states/eV/atom

---

Computed, not measured: crystalline PmErScHg at its relaxed geometry at the PBE level of DFT.

Cell and atoms, written as POSCAR:
```
PmErScHg
1.0
-1.404 -4.185 2.901
2.592 -4.572 -0.533
3.161 -1.711 3.871
Sc Pm Hg Er
1 1 1 1
Direct
0.250 0.250 0.250 Sc
0.000 0.000 0.000 Pm
0.500 0.500 0.500 Hg
0.750 0.750 0.750 Er
```

Space-group type   F-43m
M_tot   2.5 μB per cell
Energy of formation   -0.050 eV per formula unit
Density of states at the Fermi level   1.3288 states/eV/atom

---

Computed, not measured: crystalline PmErSc2Hg4 at its relaxed geometry at the PBE level of DFT.

Cell and atoms, written as POSCAR:
```
PmErSc2Hg4
1.0
5.144 0.000 0.000
2.572 4.454 0.000
2.572 1.485 8.453
Pm Er Sc Hg
1 1 2 4
Direct
0.000 0.000 0.000 Pm
0.500 0.500 0.500 Er
0.751 0.751 0.748 Sc
0.249 0.249 0.252 Sc
0.378 0.378 0.866 Hg
0.873 0.873 0.382 Hg
0.127 0.127 0.618 Hg
0.622 0.622 0.134 Hg
```

Space-group type   R-3m
M_tot   0.9 μB per cell
Energy of formation   -3.497 eV per formula unit
Density of states at the Fermi level   0.9842 states/eV/atom

---

Computed, not measured: crystalline PmErSiHg at its relaxed geometry at the PBE level of DFT.

Cell and atoms, written as POSCAR:
```
PmErSiHg
1.0
5.157 0.000 0.000
2.579 4.466 0.000
2.579 1.489 4.211
Si Pm Hg Er
1 1 1 1
Direct
0.500 0.500 0.500 Si
0.250 0.250 0.250 Pm
0.000 0.000 0.000 Hg
0.750 0.750 0.750 Er
```

Space-group type   F-43m
M_tot   0.0 μB per cell
Density of states at the Fermi level   0.8205 states/eV/atom
Formation energy from raw total energies   -0.4530 eV/atom

---

Computed, not measured: crystalline PmSmEr2Hg4 at its relaxed geometry at the PBE level of DFT.

Cell and atoms, written as POSCAR:
```
PmSmEr2Hg4
1.0
-4.188 2.365 -2.238
-4.887 -1.862 0.890
-3.758 5.383 6.434
Pm Sm Er Hg
1 1 2 4
Direct
0.500 0.500 0.500 Pm
0.000 0.000 0.000 Sm
0.750 0.750 0.750 Er
0.250 0.250 0.250 Er
0.375 0.375 0.876 Hg
0.875 0.875 0.374 Hg
0.125 0.125 0.626 Hg
0.625 0.625 0.124 Hg
```

Space-group type   R-3m
M_tot   0.8 μB per cell
Energy of formation   -3.756 eV per formula unit
Density of states at the Fermi level   1.0821 states/eV/atom

---

Computed, not measured: crystalline Tb2PmErHg4 at its relaxed geometry at the PBE level of DFT.

Cell and atoms, written as POSCAR:
```
Tb2PmErHg4
1.0
-2.700 -3.150 -3.281
2.384 -2.059 -4.249
2.270 -8.649 2.174
Tb Pm Er Hg
2 1 1 4
Direct
0.751 0.751 0.748 Tb
0.249 0.249 0.252 Tb
0.000 0.000 0.000 Pm
0.500 0.500 0.500 Er
0.377 0.377 0.868 Hg
0.873 0.873 0.380 Hg
0.127 0.127 0.620 Hg
0.623 0.623 0.132 Hg
```

Space-group type   R-3m
M_tot   0.9 μB per cell
Energy of formation   -3.791 eV per formula unit
Density of states at the Fermi level   1.1234 states/eV/atom

---

Computed, not measured: crystalline TbPmErHg at its relaxed geometry at the PBE level of DFT.

Cell and atoms, written as POSCAR:
```
TbPmErHg
1.0
5.426 0.000 0.000
2.713 4.699 0.000
2.713 1.566 4.431
Pm Tb Hg Er
1 1 1 1
Direct
0.750 0.750 0.750 Pm
0.000 0.000 0.000 Tb
0.250 0.250 0.250 Hg
0.500 0.500 0.500 Er
```

Space-group type   F-43m
M_tot   0.7 μB per cell
Energy of formation   -0.083 eV per formula unit
Density of states at the Fermi level   1.6100 states/eV/atom
Distance to the lowest polymorph of the same formula   0.215 eV per atom

---

Computed, not measured: crystalline TbPmEr2Hg4 at its relaxed geometry at the PBE level of DFT.

Cell and atoms, written as POSCAR:
```
TbPmEr2Hg4
1.0
5.278 0.000 0.000
2.639 4.571 0.000
2.639 1.524 8.643
Tb Pm Er Hg
1 1 2 4
Direct
0.500 0.500 0.500 Tb
0.000 0.000 0.000 Pm
0.750 0.750 0.749 Er
0.250 0.250 0.251 Er
0.376 0.376 0.871 Hg
0.874 0.874 0.379 Hg
0.126 0.126 0.621 Hg
0.624 0.624 0.129 Hg
```

Space-group type   R-3m
M_tot   0.6 μB per cell
Energy of formation   -3.787 eV per formula unit
Density of states at the Fermi level   1.0382 states/eV/atom

---

Computed, not measured: crystalline TbPmErHg at its relaxed geometry at the PBE level of DFT.

Cell and atoms, written as POSCAR:
```
TbPmErHg
1.0
3.625 0.000 0.000
0.000 3.625 0.000
0.000 0.000 8.908
Tb Pm Er Hg
1 1 1 1
Direct
0.500 0.500 0.791 Tb
0.000 0.000 0.074 Pm
0.500 0.500 0.354 Er
0.000 0.000 0.566 Hg
```

Space-group type   P4mm
M_tot   0.0 μB per cell
Energy of formation   -0.943 eV per formula unit
Density of states at the Fermi level   0.9682 states/eV/atom
Distance to the lowest polymorph of the same formula   0.000 eV per atom